No. 1
VASP calculation (GGA-PBE) on an optimized crystal structure of LaSiNi.

Structure (POSCAR):
```
LaSiNi
1.0
-4.078 3.445 2.744
-3.547 1.064 4.724
1.658 1.915 1.858
La Ni Si
1 1 1
Direct
0.997 0.997 0.003 La
0.292 0.292 0.708 Ni
0.710 0.710 0.290 Si
```

Computed properties:
ΔE_f (raw) = -0.3622 eV per atom
symmetry = I4mm, No. 107

---

No. 2
VASP calculation (GGA-PBE) on an optimized crystal structure of Y3ScCd.

Structure (POSCAR):
```
Y3ScCd
1.0
-2.618 -0.248 2.305
-4.333 -4.132 -5.366
7.021 -7.110 4.557
Y Sc Cd
6 2 2
Direct
0.015 0.231 0.030 Y
0.985 0.769 0.970 Y
0.376 0.958 0.752 Y
0.624 0.042 0.248 Y
0.177 0.448 0.354 Y
0.823 0.552 0.646 Y
0.734 0.824 0.468 Sc
0.266 0.176 0.532 Sc
0.580 0.604 0.160 Cd
0.420 0.396 0.840 Cd
```

Computed properties:
energy above the lowest structure with this stoichiometry = 0.0000 eV/atom
calculated formation energy = -0.03 eV/atom
symmetry = C2/m, No. 12

---

No. 3
VASP calculation (GGA-PBE) on an optimized crystal structure of TcHg2Pt.

Structure (POSCAR):
```
TcHg2Pt
1.0
2.976 0.000 0.000
0.000 2.976 0.000
0.000 0.000 8.139
Hg Pt Tc
2 1 1
Direct
0.000 0.000 0.001 Hg
0.000 0.000 0.499 Hg
0.500 0.500 0.250 Pt
0.500 0.500 0.750 Tc
```

Computed properties:
energy above the lowest structure with this stoichiometry = 0.2416 eV/atom
calculated formation energy = 0.45 eV/atom
symmetry = P4/mmm, No. 123

---

No. 4
VASP calculation (GGA-PBE) on an optimized crystal structure of Sm4Ho6Tm.

Structure (POSCAR):
```
Sm4Ho6Tm
1.0
3.540 0.000 0.000
0.000 10.943 0.000
0.000 -5.472 9.477
Sm Ho Tm
4 6 1
Direct
0.500 0.837 0.674 Sm
0.500 0.326 0.163 Sm
0.500 0.837 0.163 Sm
0.000 0.333 0.667 Sm
0.000 0.512 0.023 Ho
0.500 0.641 0.820 Ho
0.000 0.512 0.488 Ho
0.000 0.977 0.488 Ho
0.500 0.180 0.820 Ho
0.500 0.180 0.359 Ho
0.000 0.000 0.000 Tm
```

Computed properties:
energy above the lowest structure with this stoichiometry = 0.0000 eV/atom
calculated formation energy = 0.16 eV/atom
symmetry = P-6m2, No. 187

---

No. 5
VASP calculation (GGA-PBE) on an optimized crystal structure of PaTa2TiC4.

Structure (POSCAR):
```
PaTa2TiC4
1.0
3.238 0.000 0.000
-1.619 5.626 0.000
0.000 0.000 11.304
Pa Ta Ti C
2 4 2 8
Direct
0.124 0.249 0.750 Pa
0.876 0.751 0.250 Pa
0.370 0.740 0.536 Ta
0.630 0.260 0.036 Ta
0.630 0.260 0.464 Ta
0.370 0.740 0.964 Ta
0.856 0.712 0.750 Ti
0.144 0.288 0.250 Ti
0.260 0.520 0.114 C
0.740 0.480 0.614 C
0.740 0.480 0.886 C
0.260 0.520 0.386 C
0.000 0.000 0.500 C
0.000 0.000 0.000 C
0.466 0.932 0.750 C
0.534 0.068 0.250 C
```

Computed properties:
calculated formation energy = -0.39 eV/atom
symmetry = Cmcm, No. 63

---

No. 6
VASP calculation (GGA-PBE) on an optimized crystal structure of MnSb7.

Structure (POSCAR):
```
MnSb7
1.0
5.347 -3.761 1.339
-0.285 -6.616 -0.819
3.374 -2.894 -4.976
Mn Sb
1 7
Direct
0.000 0.000 0.000 Mn
0.500 0.500 0.000 Sb
0.500 0.000 0.500 Sb
0.500 0.000 0.000 Sb
0.000 0.000 0.500 Sb
0.000 0.500 0.000 Sb
0.000 0.500 0.500 Sb
0.500 0.500 0.500 Sb
```

Computed properties:
ΔE_f (raw) = 0.3759 eV per atom
symmetry = Fm-3m, No. 225

---

No. 7
VASP calculation (GGA-PBE) on an optimized crystal structure of NbFe3Ir.

Structure (POSCAR):
```
NbFe3Ir
1.0
4.382 0.000 0.000
0.000 4.382 0.000
0.000 0.000 4.382
Nb Ir Fe
1 1 3
Direct
0.500 0.500 0.500 Nb
0.000 0.000 0.000 Ir
0.000 0.500 0.000 Fe
0.000 0.000 0.500 Fe
0.500 0.000 0.000 Fe
```

Computed properties:
energy above the lowest structure with this stoichiometry = 0.0000 eV/atom
calculated formation energy = 1.56 eV/atom
symmetry = Pm-3m, No. 221

---

No. 8
VASP calculation (GGA-PBE) on an optimized crystal structure of ZnSiSe2.

Structure (POSCAR):
```
ZnSiSe2
1.0
-2.127 -2.759 -1.650
-0.962 -3.146 2.009
-6.167 0.835 2.051
Se Si Zn
2 1 1
Direct
0.000 0.000 0.000 Se
0.500 0.500 0.500 Se
0.750 0.750 0.750 Si
0.250 0.250 0.250 Zn
```

Computed properties:
ΔE_f (raw) = -0.1646 eV per atom
symmetry = R-3m, No. 166

---

No. 9
VASP calculation (GGA-PBE) on an optimized crystal structure of CaTaH.

Structure (POSCAR):
```
CaTaH
1.0
3.163 0.000 0.000
-1.582 2.729 0.000
0.000 0.000 11.192
H Ca Ta
2 2 2
Direct
0.610 0.219 0.000 H
0.280 0.560 0.500 H
0.276 0.552 0.855 Ca
0.276 0.552 0.145 Ca
0.612 0.225 0.380 Ta
0.612 0.225 0.620 Ta
```

Computed properties:
energy above the lowest structure with this stoichiometry = 0.4278 eV/atom
symmetry = Amm2, No. 38

---

No. 10
VASP calculation (GGA-PBE) on an optimized crystal structure of Rb3Tl2Te4.

Structure (POSCAR):
```
Rb3Tl2Te4
1.0
11.000 -0.549 -1.774
-0.254 6.867 -3.696
-1.220 1.172 10.497
Rb Tl Te
6 4 8
Direct
0.121 0.774 0.717 Rb
0.379 0.056 0.283 Rb
0.879 0.226 0.283 Rb
0.621 0.944 0.717 Rb
0.750 0.561 0.000 Rb
0.250 0.439 0.000 Rb
0.596 0.514 0.361 Tl
0.904 0.152 0.639 Tl
0.404 0.486 0.639 Tl
0.096 0.848 0.361 Tl
0.460 0.802 0.934 Te
0.040 0.868 0.066 Te
0.540 0.198 0.066 Te
0.960 0.132 0.934 Te
0.841 0.746 0.403 Te
0.659 0.343 0.597 Te
0.159 0.254 0.597 Te
0.341 0.657 0.403 Te
```

Computed properties:
energy above the lowest structure with this stoichiometry = 0.0000 eV/atom
ΔE_f (raw) = -0.6352 eV per atom
symmetry = C2/c, No. 15

---

No. 11
VASP calculation (GGA-PBE) on an optimized crystal structure of Rb2LaGeI6.

Structure (POSCAR):
```
Rb2LaGeI6
1.0
9.046 0.000 0.000
0.000 9.046 0.000
4.523 4.523 6.113
I Ge Rb La
6 1 2 1
Direct
0.258 0.258 0.484 I
0.742 0.742 0.516 I
0.247 0.247 0.000 I
0.753 0.753 0.000 I
0.753 0.247 0.000 I
0.247 0.753 0.000 I
0.500 0.500 0.000 Ge
0.750 0.250 0.500 Rb
0.250 0.750 0.500 Rb
0.000 0.000 0.000 La
```

Computed properties:
ΔE_f (raw) = -1.0451 eV per atom
symmetry = I4/mmm, No. 139

---

No. 12
VASP calculation (GGA-PBE) on an optimized crystal structure of Zn4NiPd.

Structure (POSCAR):
```
Zn4NiPd
1.0
-1.160 0.436 -3.886
0.612 -3.030 -2.661
-6.362 -3.462 -0.595
Zn Ni Pd
4 1 1
Direct
0.629 0.629 0.115 Zn
0.371 0.371 0.885 Zn
0.118 0.118 0.648 Zn
0.882 0.882 0.352 Zn
0.000 0.000 0.000 Ni
0.500 0.500 0.500 Pd
```

Computed properties:
energy above the lowest structure with this stoichiometry = 0.1501 eV/atom
calculated formation energy = -0.12 eV/atom
symmetry = C2/m, No. 12